VASP calculation (PBE) on an optimized crystal structure of Be2Zn2O5.

The structure belongs to space group P4/mmm (No. 123); the cell edges are 3.2841, 3.2841 and 7.0615 Å and the angles 90.00°, 90.00° and 90.00°. The asymmetric unit holds Be at (0.0000, 0.0000, 0.2354), Zn at (0.5000, 0.5000, 0.0000), Zn at (0.5000, 0.5000, 0.5000), O at (0.0000, 0.0000, 0.0000) and O at (0.0000, 0.5000, 0.3012).

The calculated total energy comes out at -46.24 eV/cell. The calculation puts the volume at 8.46 A^3/atom.